3
Lattice="0.000 2.709 2.709 2.709 0.000 2.709 2.709 2.709 0.000" Properties=species:S:1:pos:R:3 comment="MnVP, relaxed, DFT PBE-GGA" magmom_total_mub_per_cell=0.742 formation_energy_ev_per_atom=-0.42 pbc="T T T"
Mn 0.000 0.000 0.000
V 1.355 1.355 1.355
P 4.064 4.064 4.064